# 1
{"formula": "Pr9NdEr2", "functional": "PBE", "state": "optimized geometry", "lattice": [[5.196, 0.000, 0.000], [0.000, 5.196, 0.000], [0.000, 0.000, 15.600]], "species": ["Pr", "Pr", "Pr", "Pr", "Pr", "Pr", "Pr", "Pr", "Pr", "Nd", "Er", "Er"], "fractional_positions": [[0.000, 0.000, 0.000], [0.000, 0.000, 0.335], [0.000, 0.000, 0.665], [0.000, 0.500, 0.169], [0.000, 0.500, 0.500], [0.000, 0.500, 0.831], [0.500, 0.000, 0.169], [0.500, 0.000, 0.500], [0.500, 0.000, 0.831], [0.500, 0.500, 0.000], [0.500, 0.500, 0.335], [0.500, 0.500, 0.665]], "volume_a3_per_cell": 421, "dos_ef_per_ev_atom": 1.71, "magmom_total_mub_per_cell": 0.00, "formation_energy_ev_per_atom": 0.015, "mass_density_g_cm3": 6.89}

***

# 2
{"formula": "Pr2Nd8Er", "functional": "PBE", "state": "optimized geometry", "lattice": [[8.421, -3.446, 0.000], [8.421, 3.446, 0.000], [-1.338, 0.000, 6.730]], "species": ["Pr", "Pr", "Nd", "Nd", "Nd", "Nd", "Nd", "Nd", "Nd", "Nd", "Er"], "fractional_positions": [[0.194, 0.194, 0.305], [0.806, 0.806, 0.695], [0.178, 0.651, 0.098], [0.243, 0.243, 0.814], [0.349, 0.822, 0.902], [0.408, 0.408, 0.584], [0.592, 0.592, 0.416], [0.651, 0.178, 0.098], [0.757, 0.757, 0.186], [0.822, 0.349, 0.902], [0.000, 0.000, 0.500]], "volume_a3_per_cell": 391, "dos_ef_per_ev_atom": 1.66, "magmom_total_mub_per_cell": 0.00, "formation_energy_ev_per_atom": 0.148, "relative_energy_mev_per_atom": 28.0, "mass_density_g_cm3": 6.81}

***

# 3
{"formula": "Pr6Nd12Er", "functional": "PBE", "state": "optimized geometry", "lattice": [[6.186, 3.572, 5.134], [-6.186, 3.572, 5.134], [0.000, -7.143, 5.134]], "species": ["Pr", "Pr", "Pr", "Pr", "Pr", "Pr", "Nd", "Nd", "Nd", "Nd", "Nd", "Nd", "Nd", "Nd", "Nd", "Nd", "Nd", "Nd", "Er"], "fractional_positions": [[0.199, 0.763, 0.595], [0.237, 0.405, 0.801], [0.405, 0.801, 0.237], [0.595, 0.199, 0.763], [0.763, 0.595, 0.199], [0.801, 0.237, 0.405], [0.035, 0.936, 0.280], [0.064, 0.720, 0.965], [0.141, 0.482, 0.309], [0.280, 0.035, 0.936], [0.309, 0.141, 0.482], [0.482, 0.309, 0.141], [0.518, 0.691, 0.859], [0.691, 0.859, 0.518], [0.720, 0.965, 0.064], [0.859, 0.518, 0.691], [0.936, 0.280, 0.035], [0.965, 0.064, 0.720], [0.500, 0.500, 0.500]], "volume_a3_per_cell": 681, "dos_ef_per_ev_atom": 1.58, "magmom_total_mub_per_cell": 0.00, "formation_energy_ev_per_atom": 0.124, "relative_energy_mev_per_atom": 0.0, "mass_density_g_cm3": 6.69}

***

> Number 3 is which compound?

Pr6Nd12Er